[1]
This record from Alexandria describes NaNdPbBr6 after structural relaxation. The functional is PBE.

Unit cell a=7.4778 b=7.4778 c=13.2610 alpha=90.00 beta=90.00 gamma=120.00
Last column: nearest neighbours and their distance in Å.
Element x y z (fractional)
Br 0.9916 0.6516 0.8738  1 Nd 2.91, 1 Na 2.99, 1 Pb 3.07
Br 0.9916 0.3400 0.6262  1 Nd 2.91, 1 Na 2.99, 1 Pb 3.07
Br 0.6516 0.6600 0.1262  1 Nd 2.91, 1 Na 2.99, 1 Pb 3.07
Nd 0.3333 0.6667 0.2500  6 Br 2.91
Br 0.6600 0.6516 0.6262  1 Nd 2.91, 1 Na 2.99, 1 Pb 3.07
Pb 0.0000 0.0000 0.5000  6 Br 3.07
Br 0.6516 0.9915 0.3738  1 Nd 2.91, 1 Na 2.99, 1 Pb 3.07
Br 0.3484 0.0085 0.6262  1 Nd 2.91, 1 Na 2.99, 1 Pb 3.07
Na 0.3333 0.6667 0.7500  6 Br 2.99
Br 0.3400 0.3484 0.3738  1 Nd 2.91, 1 Na 2.99, 1 Pb 3.07
Nd 0.6667 0.3333 0.7500  6 Br 2.91
Br 0.3484 0.3400 0.8738  1 Nd 2.91, 1 Na 2.99, 1 Pb 3.07
Na 0.6667 0.3333 0.2500  6 Br 2.99
Br 0.0084 0.3484 0.1262  1 Nd 2.91, 1 Na 2.99, 1 Pb 3.07
Br 0.6600 0.0085 0.8738  1 Nd 2.91, 1 Na 2.99, 1 Pb 3.07
Br 0.0084 0.6600 0.3738  1 Nd 2.91, 1 Na 2.99, 1 Pb 3.07
Pb 0.0000 0.0000 0.0000  6 Br 3.07
Br 0.3400 0.9915 0.1262  1 Nd 2.91, 1 Na 2.99, 1 Pb 3.07

Summary:
- M_tot (μB/f.u.) = 0.000
- space group = No. 163

[2]
This record from Alexandria describes RbNaNd2Br8 after structural relaxation. The functional is PBE.

Unit cell a=7.4790 b=7.1944 c=9.0347 alpha=90.02 beta=90.02 gamma=85.14
Last column: nearest neighbours and their distance in Å.
Element x y z (fractional)
Br 0.1833 0.7480 0.2237  1 Nd 2.85, 1 Na 2.97
Br 0.3646 0.2914 0.4999  2 Nd 2.98
Rb 0.0000 0.0000 0.5000  6 Br 3.31-3.58
Na 0.0000 0.0000 0.0000  4 Br 2.97
Br 0.6481 0.7147 0.0001  2 Nd 2.96
Br 0.6354 0.7086 0.5001  2 Nd 2.98
Br 0.8168 0.2521 0.2238  1 Nd 2.85, 1 Na 2.97
Br 0.8167 0.2520 0.7763  1 Nd 2.85, 1 Na 2.97
Br 0.3519 0.2853 0.9999  2 Nd 2.96
Nd 0.5000 0.5000 0.7556  6 Br 2.85-2.98
Br 0.1832 0.7479 0.7762  1 Nd 2.85, 1 Na 2.97
Nd 0.5000 0.5000 0.2444  6 Br 2.85-2.98

Summary:
- M_tot (μB/f.u.) = 0.000
- space group = No. 10

[3]
This record from Alexandria describes RbNa2NdBr6 after structural relaxation. The functional is PBE.

Unit cell a=7.7290 b=7.7288 c=8.3541 alpha=62.45 beta=62.44 gamma=59.98
Last column: nearest neighbours and their distance in Å.
Element x y z (fractional)
Br 0.3487 0.7273 0.7555  1 Nd 2.93, 2 Na 2.96-3.12
Nd 0.3236 0.3236 0.0291  6 Br 2.91-2.93
Br 0.5875 0.2475 0.2330  1 Nd 2.91, 2 Na 3.04-3.09
Br 0.2473 0.9321 0.2331  1 Nd 2.91, 2 Na 3.04-3.09
Br 0.7274 0.1683 0.7556  1 Nd 2.93, 2 Na 2.96-3.12
Rb 0.8031 0.8030 0.5907  6 Br 3.38-3.59
Na 0.0046 0.0047 0.9862  6 Br 2.96-3.09
Na 0.5188 0.5189 0.4436  6 Br 3.03-3.12
Br 0.9320 0.5876 0.2329  1 Nd 2.91, 2 Na 3.03-3.09
Br 0.1686 0.3486 0.7555  1 Nd 2.93, 2 Na 2.96-3.12

Summary:
- M_tot (μB/f.u.) = 0.000
- space group = No. 146

no.,E_form (uncorrected) (kJ/mol of atoms),final energy (eV/cell)
1,-142,-66.10
2,-171,-46.53
3,-167,-35.70